(1)
Density functional theory data (PBE) for a relaxed structure of Ac4LaGe4.

a = 9.6896 Å, b = 9.6896 Å, c = 6.4411 Å
α = 90.00°, β = 90.00°, γ = 90.00°
With the nearest neighbours (Å) after each atom.
Sites, in units of the cell vectors:
Ac (0.0458, 0.6761, 0.1211)  4 Ge 3.13-3.40
Ac (0.1761, 0.9542, 0.6211)  4 Ge 3.13-3.40
Ac (0.3239, 0.5458, 0.6211)  4 Ge 3.13-3.40
Ac (0.4542, 0.8239, 0.1211)  4 Ge 3.13-3.40
Ac (0.5458, 0.1761, 0.8789)  4 Ge 3.13-3.40
Ac (0.6761, 0.4542, 0.3789)  4 Ge 3.13-3.40
Ac (0.8239, 0.0458, 0.3789)  4 Ge 3.13-3.40
Ac (0.9542, 0.3239, 0.8789)  4 Ge 3.13-3.40
La (0.2500, 0.2500, 0.2500)  4 Ge 2.96
La (0.7500, 0.7500, 0.7500)  4 Ge 2.96
Ge (0.0098, 0.6205, 0.6080)  1 Ge 2.72, 1 La 2.96
Ge (0.1205, 0.9902, 0.1080)  1 Ge 2.72, 1 La 2.96
Ge (0.3795, 0.5098, 0.1080)  1 Ge 2.72, 1 La 2.96
Ge (0.4902, 0.8795, 0.6080)  1 Ge 2.72, 1 La 2.96
Ge (0.5098, 0.1205, 0.3920)  1 Ge 2.72, 1 La 2.96
Ge (0.6205, 0.4902, 0.8920)  1 Ge 2.72, 1 La 2.96
Ge (0.8795, 0.0098, 0.8920)  1 Ge 2.72, 1 La 2.96
Ge (0.9902, 0.3795, 0.3920)  1 Ge 2.72, 1 La 2.96

Properties
**E_tot**: -4.947 eV per atom
**Formation energy from the elements**: -50.30 kJ per mole of atoms
**N(E_F)**: 20.717 states/eV per cell

=====

(2)
Density functional theory data (PBE) for a relaxed structure of AcLa2Ge.

a = 4.1256 Å, b = 4.1256 Å, c = 33.0443 Å
α = 90.00°, β = 90.00°, γ = 120.00°
With the nearest neighbours (Å) after each atom.
Sites, in units of the cell vectors:
Ac (0.0000, 0.0000, 0.0000)  2 La 3.75, 6 Ac 4.13
Ac (0.3333, 0.6667, 0.6667)  2 La 3.75, 6 Ac 4.13
Ac (0.6667, 0.3333, 0.3333)  2 La 3.75, 6 Ac 4.13
La (0.0000, 0.0000, 0.1136)  3 Ge 2.96
La (0.0000, 0.0000, 0.8864)  3 Ge 2.96
La (0.3333, 0.6667, 0.5531)  3 Ge 2.96
La (0.3333, 0.6667, 0.7803)  3 Ge 2.96
La (0.6667, 0.3333, 0.2197)  3 Ge 2.96
La (0.6667, 0.3333, 0.4469)  3 Ge 2.96
Ge (0.0000, 0.0000, 0.5000)  6 La 2.96
Ge (0.3333, 0.6667, 0.1667)  6 La 2.96
Ge (0.6667, 0.3333, 0.8333)  6 La 2.96

Properties
**E_tot**: -4.811 eV per atom
**Formation energy from the elements**: -15.99 kJ per mole of atoms
**N(E_F)**: 16.551 states/eV per cell

=====

Question: formation energy from the elements of number 2 (AcLa2Ge)?
Answer: -15.99 kJ per mole of atoms

=====

Question: Among the records above, which one has the lowest formation energy from the elements?
Answer: Ac4LaGe4

=====

Question: Number 1 is which compound?
Answer: Ac4LaGe4